{
  "formula": "ReAgP",
  "functional": "PBE",
  "state": "relaxed",
  "formation_enthalpy_0k_ev_per_atom": 0.1012,
  "e_above_lowest_polymorph_mev_per_atom": 62.3,
  "total_energy_ev_per_fu": -20.406,
  "n_ef_per_ev_cell": 6.660,
  "lattice_angstrom": [[-2.1799, -2.1109, -4.3001], [1.2110, -2.6212, 0.6728], [-8.3075, -1.0057, 11.0354]],
  "species": ["P", "P", "P", "P", "Ag", "Ag", "Ag", "Ag", "Re", "Re", "Re", "Re"],
  "fractional_positions": [[0.6368, 0.5000, 0.4350], [0.1415, 0.0000, 0.4493], [0.6368, 0.0000, 0.9350], [0.1415, 0.5000, 0.9493], [0.8242, 0.0000, 0.1295], [0.8242, 0.5000, 0.6295], [0.3473, 0.0000, 0.6435], [0.3473, 0.5000, 0.1435], [0.3201, 0.5000, 0.8182], [0.3201, 0.0000, 0.3182], [0.8768, 0.0000, 0.8205], [0.8768, 0.5000, 0.3205]]
}